[1]
Nd3Y6HoSc2 | PBE-GGA | optimized geometry

Structure (POSCAR):
```
Nd3Y6HoSc2
1.0
3.0788 -5.3321 0.0000
3.0788 5.3321 0.0000
-2.0528 0.0000 11.5252
Nd Y Ho Sc
3 6 1 2
direct
0.0000 0.0000 0.0000
0.3331 0.6669 0.0000
0.6669 0.3331 0.0000
0.0836 0.4193 0.2589
0.2447 0.2447 0.7411
0.4193 0.0836 0.2589
0.5807 0.9164 0.7411
0.7553 0.7553 0.2589
0.9164 0.5807 0.7411
0.5000 0.5000 0.5000
0.1668 0.8332 0.5000
0.8332 0.1668 0.5000
```

Calculated values
Symmetry: C2/m, No. 12
Formation energy in meV per atom: 43
E_tot in eV for the cell shown: -69.81

[2]
Pa6CoTc3 | PBE-GGA | optimized geometry

Structure (POSCAR):
```
Pa6CoTc3
1.0
6.7424 0.0000 0.0000
0.0000 6.9825 0.0000
-6.4675 0.0000 9.4400
Pa Co Tc
12 2 6
direct
0.0467 0.0259 0.2551
0.0467 0.4741 0.7551
0.1910 0.6482 0.0526
0.1910 0.8518 0.5526
0.4255 0.1776 0.0848
0.4255 0.3224 0.5848
0.5745 0.6776 0.4152
0.5745 0.8224 0.9152
0.8090 0.1482 0.4474
0.8090 0.3518 0.9474
0.9533 0.5259 0.2449
0.9533 0.9741 0.7449
0.5000 0.0000 0.5000
0.5000 0.5000 0.0000
0.0000 0.0000 0.0000
0.0000 0.5000 0.5000
0.3275 0.1721 0.7938
0.3275 0.3279 0.2938
0.6725 0.6721 0.7062
0.6725 0.8279 0.2062
```

Calculated values
Symmetry: P2_1/c, No. 14
Formation energy in meV per atom: -73
E_tot in eV for the cell shown: -191.81

[3]
Bi3RuI | PBE-GGA | optimized geometry

Structure (POSCAR):
```
Bi3RuI
1.0
5.3843 0.0000 0.0000
0.0000 5.3843 0.0000
0.0000 0.0000 5.3843
Bi Ru I
3 1 1
direct
0.0000 0.0000 0.5000
0.0000 0.5000 0.0000
0.5000 0.0000 0.0000
0.0000 0.0000 0.0000
0.5000 0.5000 0.5000
```

Calculated values
Formation energy from raw total energies in eV per atom: 0.38
Symmetry: Pm-3m, No. 221
Energy above the most stable polymorph in this dataset in kcal/mol of atoms: 0.00
E_tot in eV for the cell shown: -20.57

[4]
SO | PBE-GGA | optimized geometry

Structure (POSCAR):
```
SO
1.0
1.3907 -4.2721 0.0000
1.3907 4.2721 0.0000
0.0000 0.0000 5.1653
S O
2 2
direct
0.0414 0.9586 0.7500
0.9586 0.0414 0.2500
0.2146 0.7854 0.7500
0.7854 0.2146 0.2500
```

Calculated values
Formation energy from raw total energies in eV per atom: -0.39
Symmetry: Cmcm, No. 63
Energy above the most stable polymorph in this dataset in kcal/mol of atoms: 3.92
E_tot in eV for the cell shown: -19.74

[5]
Rb2TaB | PBE-GGA | optimized geometry

Structure (POSCAR):
```
Rb2TaB
1.0
-6.5537 6.5537 2.1818
6.5537 -6.5537 2.1818
6.5537 6.5537 -2.1818
Rb Ta B
4 2 2
direct
0.3750 0.0846 0.2096
0.8346 0.6250 0.7096
0.8750 0.1654 0.7904
0.9154 0.1250 0.2904
0.2500 0.7500 0.5000
0.5000 0.5000 0.0000
0.0000 0.0000 0.0000
0.7500 0.2500 0.5000
```

Calculated values
Symmetry: I-42d, No. 122
Formation energy in meV per atom: 1323
E_tot in eV for the cell shown: -30.34

[6]
MgMnCu2Re | PBE-GGA | optimized geometry

Structure (POSCAR):
```
MgMnCu2Re
1.0
4.3281 0.0000 0.0000
0.0000 4.3281 0.0000
0.0000 0.0000 4.4721
Mg Mn Cu Re
1 1 2 1
direct
0.0000 0.0000 0.0000
0.0000 0.0000 0.5000
0.0000 0.5000 0.5000
0.5000 0.0000 0.5000
0.5000 0.5000 0.0000
```

Calculated values
Symmetry: P4/mmm, No. 123
Formation energy in meV per atom: 1763
E_tot in eV for the cell shown: -22.59

[7]
Sn3TeSe8 | PBE-GGA | optimized geometry

Structure (POSCAR):
```
Sn3TeSe8
1.0
6.7470 -3.8991 0.0000
6.7470 3.8991 0.0000
-4.6140 0.0000 7.0165
Sn Te Se
3 1 8
direct
0.0000 0.0000 0.0000
0.0000 0.5000 0.0000
0.5000 0.0000 0.0000
0.5000 0.5000 0.0000
0.2363 0.7505 0.2315
0.2437 0.2437 0.2254
0.2493 0.2493 0.7684
0.2495 0.7637 0.7685
0.7505 0.2363 0.2315
0.7507 0.7507 0.2316
0.7563 0.7563 0.7746
0.7637 0.2495 0.7685
```

Calculated values
Formation energy from raw total energies in eV per atom: -0.26
Symmetry: C2/m, No. 12
E_tot in eV for the cell shown: -46.14

[8]
RbTl2Br3 | PBE-GGA | optimized geometry

Structure (POSCAR):
```
RbTl2Br3
1.0
-2.4191 3.4130 7.2451
2.4191 -3.4130 7.2451
2.4191 3.4130 -7.2451
Rb Tl Br
1 2 3
direct
0.0000 0.0000 0.0000
0.3341 0.3341 0.0000
0.6659 0.6659 0.0000
0.1721 0.6721 0.5000
0.5000 0.0000 0.5000
0.8279 0.3279 0.5000
```

Calculated values
Formation energy from raw total energies in eV per atom: -1.16
Symmetry: Immm, No. 71
Energy above the most stable polymorph in this dataset in kcal/mol of atoms: 0.00
E_tot in eV for the cell shown: -17.68